Cs2KTe6: optimized geometry, GGA-PBE.

Results
The calculated volume is 459.0 Å³/cell. The energy relative to the lowest polymorph listed for this composition is 0.0 meV/atom. The calculation puts the density at 3.9 Mg/m³. The calculation puts the formation energy (no corrections) at -53 kJ/mol of atoms.

Lattice parameters (Å, degrees): 6.837 8.671 9.590 116.88 67.72 90.00
Positions (direct):
1 Cs 0.116 0.612 0.224
2 Cs 0.884 0.388 0.776
3 K 0.000 0.000 0.000
4 Te 0.592 0.857 0.231
5 Te 0.495 0.754 0.508
6 Te 0.592 0.374 0.231
7 Te 0.408 0.143 0.769
8 Te 0.505 0.246 0.492
9 Te 0.408 0.626 0.769